! PBE SnPtSO, relaxed; values from VASP
! DFT total energy, eV/atom: -5.111
! Excess energy over the best structure of this formula in the dataset, eV/atom: 0.379
&SYSTEM
  ibrav = 0, nat = 16, ntyp = 4
/
ATOMIC_SPECIES
Pt 195.08 Pt.upf
Sn 118.71 Sn.upf
O 16.00 O.upf
S 32.06 S.upf
ATOMIC_POSITIONS angstrom
Pt -1.7310 -0.4316 2.7806
Sn 4.3449 -2.8707 3.9749
O 5.8401 -3.9471 5.4268
S -0.7051 -2.7616 6.5709
O 0.9648 -3.3283 3.0757
Pt 2.0632 -4.2425 4.8113
Pt 8.0600 -4.0829 5.7554
Sn -1.2238 -3.2390 2.2363
Pt 0.7681 -4.2576 7.3202
S 3.2258 -5.6252 6.1174
O 2.6394 -5.4536 7.6699
S 5.2846 -3.6813 6.9775
Sn 4.4986 -5.4227 9.0998
Sn 1.5404 -1.4820 5.3565
O -0.2840 -0.2856 4.4950
S 1.3549 -0.9464 1.0017
CELL_PARAMETERS angstrom
-2.6625 0.9707 4.7740
-1.5447 -4.6976 0.0937
8.7872 -2.7804 5.4661